An optimized crystal structure of Rb2TlRhCl6. Source: Alexandria via LeMat-Bulk, functional GGA-PBE.

Properties
* DOS(E_F): 0.00 states/eV/atom
* V: 30.5 Å³/atom
* formation energy from raw total energies: -1.242 eV per atom
* spin magnetization: 0.000 μB/f.u.
* raw total energy: -3.515 eV per atom

Cell lengths 7.558, 7.558, 7.557 Å; angles 59.99, 59.99, 90.00 degrees
Atoms (fractional coordinates):
Cl  0.278  0.722  0.000
Cl  0.722  0.722  0.556
Rh  0.500  0.500  0.000
Tl  0.000  0.000  0.000
Rb  0.250  0.750  0.500
Cl  0.722  0.722  0.000
Rb  0.750  0.250  0.500
Cl  0.278  0.278  0.000
Cl  0.722  0.278  0.000
Cl  0.278  0.278  0.444

---

An optimized crystal structure of Pm4AlCuAg2. Source: Alexandria via LeMat-Bulk, functional GGA-PBE.

Properties
* DOS(E_F): 0.83 states/eV/atom
* energy of formation: -0.26 eV per atom
* V: 25.2 Å³/atom
* spin magnetization: 0.000 μB/f.u.
* raw total energy: -4.324 eV per atom

Cell lengths 5.223, 5.223, 9.040 Å; angles 73.21, 73.21, 60.00 degrees
Atoms (fractional coordinates):
Cu  0.500  0.500  0.500
Pm  0.872  0.872  0.385
Pm  0.620  0.620  0.139
Al  0.000  0.000  0.000
Pm  0.128  0.128  0.615
Ag  0.257  0.257  0.230
Ag  0.743  0.743  0.770
Pm  0.380  0.380  0.861

---

An optimized crystal structure of LiZnOF. Source: Alexandria via LeMat-Bulk, functional GGA-PBE.

Properties
* DOS(E_F): 0.00 states/eV/atom
* V: 11.5 Å³/atom
* formation energy from raw total energies: -2.104 eV per atom
* spin magnetization: 0.000 μB/f.u.
* raw total energy: -4.608 eV per atom

Cell lengths 3.367, 3.367, 4.667 Å; angles 90.00, 90.00, 120.00 degrees
Atoms (fractional coordinates):
O  0.836  0.673  0.500
Li  0.836  0.673  0.000
F  0.170  0.340  0.000
Zn  0.170  0.340  0.500

---

An optimized crystal structure of Cs2HfCuSe4. Source: Alexandria via LeMat-Bulk, functional GGA-PBE.

Properties
* DOS(E_F): 0.53 states/eV/atom
* V: 32.7 Å³/atom
* formation energy from raw total energies: -0.857 eV per atom
* spin magnetization: 0.000 μB/f.u.
* raw total energy: -4.569 eV per atom

Cell lengths 8.324, 8.324, 7.629 Å; angles 90.97, 90.97, 97.56 degrees
Atoms (fractional coordinates):
Se  0.178  0.665  0.257
Cu  0.500  0.500  0.500
Se  0.822  0.335  0.743
Se  0.165  0.678  0.757
Se  0.267  0.330  0.519
Cs  0.500  0.000  0.000
Se  0.835  0.322  0.243
Se  0.830  0.767  0.019
Cs  0.000  0.000  0.500
Cs  0.500  0.000  0.500
Hf  0.000  0.500  0.500
Cu  0.000  0.000  0.000
Cs  0.500  0.500  0.000
Se  0.170  0.233  0.981
Hf  0.000  0.500  0.000
Se  0.733  0.670  0.481

---

An optimized crystal structure of Li3PbF8. Source: Alexandria via LeMat-Bulk, functional GGA-PBE.

Properties
* DOS(E_F): 0.46 states/eV/atom
* V: 12.7 Å³/atom
* formation energy from raw total energies: -2.190 eV per atom
* spin magnetization: 1.008 μB/f.u.
* raw total energy: -4.225 eV per atom

Cell lengths 6.457, 6.460, 5.652 Å; angles 125.06, 90.00, 119.98 degrees
Site moments in Bohr magnetons follow the coordinates.
Atoms (fractional coordinates):
Li  0.500  0.500  0.000  0.00
F  0.265  0.531  0.797  0.33
F  0.748  0.994  0.238  0.04
Li  0.500  0.000  0.000  0.00
Li  0.000  0.500  0.000  0.00
F  0.755  0.509  0.762  0.04
F  0.735  0.469  0.203  0.33
F  0.245  0.491  0.238  0.04
F  0.246  0.994  0.238  0.04
Pb  0.000  0.000  0.000  0.00
F  0.754  0.006  0.762  0.04
F  0.252  0.006  0.762  0.04

---

An optimized crystal structure of VHg2RuAu. Source: Alexandria via LeMat-Bulk, functional GGA-PBE.

Properties
* DOS(E_F): 0.76 states/eV/atom
* energy of formation: 0.81 eV per atom
* V: 24.1 Å³/atom
* spin magnetization: 1.390 μB/f.u.
* raw total energy: -3.641 eV per atom

Cell lengths 5.223, 4.425, 5.223 Å; angles 90.00, 90.00, 90.00 degrees
Site moments in Bohr magnetons follow the coordinates.
Atoms (fractional coordinates):
Hg  0.500  0.000  0.000  -0.01
V  0.000  0.500  0.000  1.53
Ru  0.000  0.000  0.000  -0.31
Hg  0.000  0.000  0.500  0.00
Au  0.500  0.500  0.500  -0.03